! LaTcRh (PBE, relaxed); values from VASP
&SYSTEM
  ibrav = 0, nat = 3, ntyp = 3
/
ATOMIC_SPECIES
La 138.91 La.upf
Rh 102.91 Rh.upf
Tc 98.00 Tc.upf
ATOMIC_POSITIONS crystal
La 0.0000 0.0000 0.0000
Rh 0.5000 0.5000 0.5000
Tc 0.7500 0.7500 0.7500
CELL_PARAMETERS angstrom
4.5188 0.0000 0.0000
2.2594 3.9134 0.0000
2.2594 1.3045 3.6896
! * ΔH_f (0 K): 331 meV per atom
! * symmetry: No. 216
! * calculated total energy: -7.217 eV per atom